[1]
Material: Rb3NaCr2Br8
Method: DFT, PBE
State: optimized geometry

POSCAR file:
```
Rb3NaCr2Br8
1.0
7.770 0.000 0.000
-3.885 6.729 0.000
0.000 0.000 9.932
Rb Na Cr Br
3 1 2 8
Cartesian
0.000 0.000 0.000
0.000 4.486 6.090
3.885 2.243 3.841
0.000 0.000 4.966
0.000 4.486 1.959
3.885 2.243 7.973
0.000 2.258 3.107
-1.930 5.600 3.107
0.000 4.486 9.445
1.955 1.129 6.825
1.930 5.600 3.107
3.885 2.243 0.486
5.815 1.129 6.825
3.885 4.471 6.825
```

Summary:
total magnetic moment: 0.571 μB/atom
formation energy from raw total energies: -1161 meV/atom
symmetry: P-3m1

---

[2]
Material: RbNaCr2Br8
Method: DFT, PBE
State: optimized geometry

POSCAR file:
```
RbNaCr2Br8
1.0
3.524 2.035 9.886
-3.524 2.035 9.886
0.000 -4.070 9.886
Rb Na Cr Br
1 1 2 8
Cartesian
0.000 0.000 0.000
0.000 0.000 14.830
0.000 0.000 7.356
0.000 0.000 22.303
-2.446 0.015 12.991
-1.236 -2.111 16.668
0.000 0.000 9.697
1.210 -2.126 12.991
-1.210 2.126 16.668
0.000 0.000 19.962
1.236 2.111 12.991
2.446 -0.015 16.668
```

Summary:
total magnetic moment: 0.500 μB/atom
formation energy from raw total energies: -907 meV/atom
symmetry: R-3

---

[3]
Material: Na2CrReBr
Method: DFT, PBE
State: optimized geometry

POSCAR file:
```
Na2CrReBr
1.0
4.894 0.000 0.000
0.000 4.894 0.000
0.000 0.000 4.701
Na Cr Re Br
2 1 1 1
Cartesian
0.000 2.447 0.000
2.447 0.000 0.000
0.000 0.000 2.350
2.447 2.447 2.350
0.000 0.000 0.000
```

Summary:
total magnetic moment: 0.097 μB/atom
formation energy from raw total energies: 1761 meV/atom
symmetry: P4/mmm

---

[4]
Material: NaCr2SBr
Method: DFT, PBE
State: optimized geometry

POSCAR file:
```
NaCr2SBr
1.0
4.460 0.000 0.000
0.000 4.460 0.000
0.000 0.000 7.915
Na Cr S Br
1 2 1 1
Cartesian
0.000 0.000 0.000
0.000 2.230 3.957
2.230 0.000 3.957
2.230 2.230 3.957
2.230 2.230 0.000
```

Summary:
total magnetic moment: 1.614 μB/atom
formation energy from raw total energies: -57 meV/atom
symmetry: P4/mmm

---

[5]
Material: Na2CrSBr
Method: DFT, PBE
State: optimized geometry

POSCAR file:
```
Na2CrSBr
1.0
5.259 0.000 0.000
0.000 5.259 0.000
0.000 0.000 4.960
Na Cr S Br
2 1 1 1
Cartesian
0.000 2.629 0.000
2.629 0.000 0.000
0.000 0.000 2.480
2.629 2.629 2.480
0.000 0.000 0.000
```

Summary:
total magnetic moment: 1.000 μB/atom
formation energy from raw total energies: -148 meV/atom
symmetry: P4/mmm

---

[6]
Material: NaCrSi2Br
Method: DFT, PBE
State: optimized geometry

POSCAR file:
```
NaCrSi2Br
1.0
4.978 0.000 0.000
0.000 4.978 0.000
0.000 0.000 4.898
Na Cr Si Br
1 1 2 1
Cartesian
0.000 0.000 0.000
0.000 0.000 2.449
0.000 2.489 0.000
2.489 0.000 0.000
2.489 2.489 2.449
```

Summary:
total magnetic moment: 0.147 μB/atom
formation energy from raw total energies: 1931 meV/atom
symmetry: P4/mmm

---

[7]
Material: Na2CrSnBr6
Method: DFT, PBE
State: optimized geometry

POSCAR file:
```
Na2CrSnBr6
1.0
3.659 2.113 6.549
-3.659 2.113 6.549
0.000 -4.226 6.549
Na Cr Sn Br
2 1 1 6
Cartesian
0.000 0.000 0.000
0.000 0.000 9.690
0.000 0.000 13.573
0.000 0.000 3.827
-1.439 -2.323 8.482
-2.121 0.131 11.938
-1.292 2.408 8.482
0.947 -1.903 11.938
2.731 -0.085 8.482
1.174 1.772 11.938
```

Summary:
total magnetic moment: 0.400 μB/atom
formation energy from raw total energies: -1004 meV/atom
symmetry: R3

---

[8]
Material: NaCrTe2Br
Method: DFT, PBE
State: optimized geometry

POSCAR file:
```
NaCrTe2Br
1.0
5.859 0.000 0.000
0.000 5.859 0.000
0.000 0.000 4.913
Na Cr Te Br
1 1 2 1
Cartesian
0.000 0.000 0.000
2.930 2.930 0.000
0.000 2.930 2.457
2.930 0.000 2.457
0.000 0.000 2.457
```

Summary:
total magnetic moment: 0.120 μB/atom
formation energy from raw total energies: 950 meV/atom
symmetry: P4/mmm

---

[9]
Material: NaTiCr2Br
Method: DFT, PBE
State: optimized geometry

POSCAR file:
```
NaTiCr2Br
1.0
4.863 0.000 0.000
0.000 4.863 0.000
0.000 0.000 5.163
Na Ti Cr Br
1 1 2 1
Cartesian
0.000 0.000 0.000
2.431 2.431 2.582
0.000 2.431 2.582
2.431 0.000 2.582
2.431 2.431 0.000
```

Summary:
total magnetic moment: 1.466 μB/atom
formation energy from raw total energies: 795 meV/atom
symmetry: P4/mmm
distance to the lowest polymorph of the same formula: 0 meV/atom

---

[10]
Material: NaTiCr2Br
Method: DFT, PBE
State: optimized geometry

POSCAR file:
```
NaTiCr2Br
1.0
5.062 0.000 0.000
0.000 5.062 0.000
0.000 0.000 5.385
Na Ti Cr Br
1 1 2 1
Cartesian
0.000 0.000 0.000
0.000 0.000 2.692
0.000 2.531 0.000
2.531 0.000 0.000
2.531 2.531 2.692
```

Summary:
total magnetic moment: 1.449 μB/atom
formation energy from raw total energies: 1608 meV/atom
symmetry: P4/mmm
distance to the lowest polymorph of the same formula: 813 meV/atom

---

[11]
Material: Na2TlCrBr6
Method: DFT, PBE
State: optimized geometry

POSCAR file:
```
Na2TlCrBr6
1.0
3.687 2.129 6.691
-3.687 2.129 6.691
0.000 -4.258 6.691
Na Tl Cr Br
2 1 1 6
Cartesian
0.000 0.000 0.000
0.000 0.000 9.624
0.000 0.000 3.814
0.000 0.000 13.513
-1.577 -2.158 8.251
-2.022 -0.145 11.974
-1.080 2.445 8.251
1.137 -1.679 11.974
2.657 -0.287 8.251
0.885 1.824 11.974
```

Summary:
total magnetic moment: 0.299 μB/atom
formation energy from raw total energies: -1069 meV/atom
symmetry: R3

---

[12]
Material: NaTl2CrBr6
Method: DFT, PBE
State: optimized geometry

POSCAR file:
```
NaTl2CrBr6
1.0
7.461 0.000 0.000
0.000 7.773 0.000
-7.391 0.000 10.738
Na Tl Cr Br
2 4 2 12
Cartesian
0.000 0.000 0.000
-3.696 3.887 5.369
-3.825 0.551 8.070
-0.129 3.335 2.700
0.199 4.438 8.038
3.894 7.222 2.669
0.035 0.000 5.369
3.730 3.887 0.000
-2.041 1.399 4.951
-5.737 2.487 10.320
-1.294 5.644 4.961
-4.990 6.016 10.330
0.617 0.088 2.904
-3.079 3.799 8.273
3.148 3.974 2.465
-0.548 7.685 7.834
5.059 1.757 0.409
1.363 2.129 5.778
5.806 5.286 0.419
2.111 6.374 5.788
```

Summary:
total magnetic moment: 0.299 μB/atom
formation energy from raw total energies: -946 meV/atom
symmetry: P2_1/c

---

[13]
Material: NaY2CrBr
Method: DFT, PBE
State: optimized geometry

POSCAR file:
```
NaY2CrBr
1.0
5.475 0.000 0.000
0.000 5.475 0.000
0.000 0.000 5.033
Na Y Cr Br
1 2 1 1
Cartesian
0.000 0.000 0.000
0.000 2.738 2.517
2.738 0.000 2.517
2.738 2.738 0.000
0.000 0.000 2.517
```

Summary:
total magnetic moment: 0.842 μB/atom
formation energy from raw total energies: 296 meV/atom
symmetry: P4/mmm

---

[14]
Material: NbCrBr
Method: DFT, PBE
State: optimized geometry

POSCAR file:
```
NbCrBr
1.0
2.556 -1.801 0.000
2.556 1.801 0.000
-0.455 0.000 12.886
Nb Cr Br
2 2 2
Cartesian
0.000 0.000 0.000
2.546 0.000 2.141
-0.064 0.000 3.992
2.507 0.000 5.321
0.788 0.000 7.082
2.863 0.000 10.978
```

Summary:
total magnetic moment: 0.066 μB/atom
formation energy from raw total energies: 3 meV/atom
symmetry: Cm
distance to the lowest polymorph of the same formula: 21 meV/atom

---

[15]
Material: NbCr3Br
Method: DFT, PBE
State: optimized geometry

POSCAR file:
```
NbCr3Br
1.0
4.653 0.000 0.000
0.000 4.653 0.000
0.000 0.000 4.653
Nb Cr Br
1 3 1
Cartesian
0.000 0.000 0.000
0.000 0.000 2.326
0.000 2.326 0.000
2.326 0.000 0.000
2.326 2.326 2.326
```

Summary:
total magnetic moment: 0.161 μB/atom
formation energy from raw total energies: 2079 meV/atom
symmetry: Pm-3m
distance to the lowest polymorph of the same formula: 718 meV/atom

---

[16]
Material: Nb3CrBr
Method: DFT, PBE
State: optimized geometry

POSCAR file:
```
Nb3CrBr
1.0
4.703 0.000 0.000
0.000 4.703 0.000
0.000 0.000 4.703
Nb Cr Br
3 1 1
Cartesian
0.000 0.000 2.352
0.000 2.352 0.000
2.352 0.000 0.000
2.352 2.352 2.352
0.000 0.000 0.000
```

Summary:
total magnetic moment: 0.142 μB/atom
formation energy from raw total energies: 1577 meV/atom
symmetry: Pm-3m
distance to the lowest polymorph of the same formula: 498 meV/atom

---

[17]
Material: NbCrBr
Method: DFT, PBE
State: optimized geometry

POSCAR file:
```
NbCrBr
1.0
3.094 0.000 0.000
-1.305 2.882 0.000
-0.018 -0.009 6.124
Nb Cr Br
1 1 1
Cartesian
0.000 0.000 0.000
0.877 1.434 4.404
2.424 1.432 2.319
```

Summary:
total magnetic moment: 0.001 μB/atom
formation energy from raw total energies: 301 meV/atom
symmetry: P1
distance to the lowest polymorph of the same formula: 319 meV/atom

---

[18]
Material: Nb2CrBr
Method: DFT, PBE
State: optimized geometry

POSCAR file:
```
Nb2CrBr
1.0
0.000 3.221 3.221
3.221 0.000 3.221
3.221 3.221 0.000
Nb Cr Br
2 1 1
Cartesian
1.610 1.610 1.610
4.831 4.831 4.831
0.000 0.000 0.000
3.221 3.221 3.221
```

Summary:
total magnetic moment: 0.000 μB/atom
formation energy from raw total energies: 766 meV/atom
symmetry: Fm-3m
distance to the lowest polymorph of the same formula: 0 meV/atom

---

[19]
Material: NbCr3Br
Method: DFT, PBE
State: optimized geometry

POSCAR file:
```
NbCr3Br
1.0
4.336 0.000 0.000
0.000 4.336 0.000
0.000 0.000 4.336
Nb Cr Br
1 3 1
Cartesian
0.000 0.000 0.000
0.000 2.168 2.168
2.168 0.000 2.168
2.168 2.168 0.000
2.168 2.168 2.168
```

Summary:
total magnetic moment: 0.288 μB/atom
formation energy from raw total energies: 1361 meV/atom
symmetry: Pm-3m
distance to the lowest polymorph of the same formula: 0 meV/atom

---

[20]
Material: Nb3CrBr
Method: DFT, PBE
State: optimized geometry

POSCAR file:
```
Nb3CrBr
1.0
4.710 0.000 0.000
0.000 4.710 0.000
0.000 0.000 4.710
Nb Cr Br
3 1 1
Cartesian
0.000 0.000 2.355
0.000 2.355 0.000
2.355 0.000 0.000
0.000 0.000 0.000
2.355 2.355 2.355
```

Summary:
total magnetic moment: 0.000 μB/atom
formation energy from raw total energies: 1079 meV/atom
symmetry: Pm-3m
distance to the lowest polymorph of the same formula: 0 meV/atom